w.
Below is a relaxed structure of Pr5Tm4Th2, with properties calculated at the PBE level.

Cell: 3.519 7.713 14.811 Å, 105.09 96.82 90.00°
Fractional positions:
Th1 0.899 0.899 0.798
Tm1 0.000 0.678 0.000
Pr1 0.805 0.547 0.611
Tm2 0.402 0.402 0.803
Pr2 0.805 0.064 0.611
Pr3 0.195 0.936 0.389
Pr4 0.195 0.453 0.389
Tm3 0.000 0.322 0.000
Tm4 0.598 0.598 0.197
Pr5 0.500 0.000 0.000
Th2 0.101 0.101 0.202

Computed properties:
* space-group type: Immm (71)

---

x.
Below is a relaxed structure of Pr5Tm4Th2, with properties calculated at the PBE level.

Cell: 3.539 8.894 11.841 Å, 85.52 90.00 90.00°
Fractional positions:
Pr1 0.000 0.572 0.705
Pr2 0.000 0.812 0.162
Tm1 0.500 0.298 0.548
Tm2 0.500 0.164 0.110
Tm3 0.500 0.836 0.890
Th1 0.000 0.043 0.367
Th2 0.000 0.957 0.633
Tm4 0.500 0.702 0.452
Pr3 0.000 0.500 0.000
Pr4 0.000 0.428 0.295
Pr5 0.000 0.188 0.838

Computed properties:
* space-group type: P2/m (10)

---

Stability check: which of them is least stable? w.

---

w.
Below is a relaxed structure of Pr2Tm5Th, with properties calculated at the PBE level.

Cell: 8.644 8.612 5.686 Å, 109.28 70.79 139.07°
Fractional positions:
Pr1 0.932 0.538 0.289
Tm1 0.365 0.981 0.795
Th1 0.092 0.171 0.025
Tm2 0.740 0.831 0.532
Tm3 0.699 0.570 0.922
Tm4 0.342 0.198 0.414
Tm5 0.499 0.834 0.154
Pr2 0.110 0.431 0.647

Computed properties:
* space-group type: Cm (8)

---

x.
Below is a relaxed structure of Pr2Tm5Th, with properties calculated at the PBE level.

Cell: 5.066 7.084 14.206 Å, 90.00 90.00 90.00°
Fractional positions:
Tm1 0.000 0.991 0.251
Pr1 0.500 0.249 0.124
Tm2 0.500 0.739 0.123
Tm3 0.000 0.009 0.749
Pr2 0.500 0.751 0.876
Tm4 0.500 0.239 0.377
Th1 0.000 0.000 0.500
Tm5 0.000 0.509 0.751
Th2 0.000 0.500 0.000
Tm6 0.500 0.761 0.623
Tm7 0.000 0.000 0.000
Pr3 0.500 0.749 0.376
Pr4 0.500 0.251 0.624
Tm8 0.000 0.500 0.500
Tm9 0.000 0.491 0.249
Tm10 0.500 0.261 0.877

Computed properties:
* space-group type: Pbam (55)

---

Stability check: which of them is least stable? w.

---

w.
Below is a relaxed structure of Pr2Tm12Th5, with properties calculated at the PBE level.

Cell: 7.036 9.910 10.142 Å, 68.45 90.00 110.79°
Fractional positions:
Th1 0.316 0.633 0.212
Tm1 0.500 0.999 0.330
Tm2 0.403 0.316 0.137
Th2 0.000 0.000 0.500
Th3 0.684 0.367 0.788
Tm3 0.912 0.316 0.137
Tm4 0.500 0.001 0.670
Tm5 0.972 0.945 0.236
Tm6 0.028 0.055 0.764
Tm7 0.088 0.684 0.863
Tm8 0.586 0.670 0.513
Pr1 0.287 0.000 0.000
Tm9 0.085 0.670 0.513
Tm10 0.414 0.330 0.487
Tm11 0.597 0.684 0.863
Th4 0.810 0.620 0.185
Tm12 0.915 0.330 0.487
Th5 0.190 0.380 0.815
Pr2 0.713 0.000 0.000

Computed properties:
* space-group type: C2/m (12)

---

x.
Below is a relaxed structure of Pr2Tm12Th5, with properties calculated at the PBE level.

Cell: 11.493 10.318 9.365 Å, 128.54 90.00 123.84°
Fractional positions:
Tm1 0.842 0.203 0.796
Tm2 0.541 0.595 0.399
Tm3 0.429 0.858 0.645
Th1 0.776 0.551 0.911
Tm4 0.639 0.797 0.204
Th2 0.297 0.594 0.845
Tm5 0.158 0.797 0.204
Th3 0.224 0.449 0.089
Tm6 0.459 0.405 0.601
Th4 0.703 0.406 0.155
Th5 0.000 0.000 0.500
Tm7 0.946 0.405 0.601
Tm8 0.054 0.595 0.399
Tm9 0.361 0.203 0.796
Pr1 0.280 0.000 0.000
Tm10 0.571 0.142 0.355
Pr2 0.720 0.000 0.000
Tm11 0.888 0.776 0.703
Tm12 0.112 0.224 0.297

Computed properties:
* space-group type: C2/m (12)

---

Stability check: which of them is least stable? w.

---

w.
Below is a relaxed structure of PrTm3Th, with properties calculated at the PBE level.

Cell: 3.625 8.490 20.859 Å, 90.00 90.00 90.00°
Fractional positions:
Pr1 0.250 0.884 0.144
Tm1 0.250 0.414 0.770
Tm2 0.750 0.704 0.842
Th1 0.750 0.074 0.435
Tm3 0.750 0.586 0.230
Tm4 0.250 0.296 0.158
Tm5 0.750 0.086 0.270
Th2 0.750 0.574 0.065
Tm6 0.250 0.914 0.730
Tm7 0.750 0.660 0.471
Th3 0.250 0.426 0.935
Tm8 0.250 0.340 0.529
Tm9 0.250 0.840 0.971
Tm10 0.250 0.796 0.342
Tm11 0.750 0.160 0.029
Tm12 0.750 0.204 0.658
Pr2 0.750 0.116 0.856
Th4 0.250 0.926 0.565
Pr3 0.750 0.616 0.644
Pr4 0.250 0.384 0.356

Computed properties:
* space-group type: Pnma (62)

---

x.
Below is a relaxed structure of PrTm3Th, with properties calculated at the PBE level.

Cell: 6.950 6.493 11.792 Å, 126.14 90.00 122.36°
Fractional positions:
Tm1 0.901 0.309 0.706
Th1 0.944 0.888 0.092
Tm2 0.407 0.309 0.706
Th2 0.056 0.112 0.908
Tm3 0.241 0.482 0.493
Tm4 0.593 0.691 0.294
Tm5 0.099 0.691 0.294
Pr1 0.542 0.084 0.894
Pr2 0.458 0.916 0.106
Tm6 0.759 0.518 0.507

Computed properties:
* space-group type: C2/m (12)

---

Stability check: which of them is least stable? x.

---

w.
Below is a relaxed structure of Pr3Tm6Th, with properties calculated at the PBE level.

Cell: 9.870 9.870 6.919 Å, 44.50 44.50 60.00°
Fractional positions:
Tm1 0.573 0.228 0.299
Pr1 0.400 0.400 0.801
Tm2 0.900 0.573 0.299
Th1 0.900 0.900 0.301
Pr2 0.155 0.155 0.536
Pr3 0.644 0.644 0.067
Tm3 0.228 0.900 0.299
Tm4 0.067 0.400 0.799
Tm5 0.400 0.734 0.799
Tm6 0.734 0.067 0.799

Computed properties:
* space-group type: R3 (146)

---

x.
Below is a relaxed structure of Pr3Tm6Th, with properties calculated at the PBE level.

Cell: 3.484 12.067 17.438 Å, 117.33 90.00 90.00°
Fractional positions:
Pr1 0.250 0.349 0.478
Tm1 0.250 0.649 0.025
Tm2 0.250 0.259 0.636
Tm3 0.250 0.938 0.567
Tm4 0.750 0.351 0.975
Pr2 0.750 0.651 0.522
Tm5 0.750 0.536 0.669
Tm6 0.750 0.062 0.433
Tm7 0.250 0.142 0.267
Pr3 0.250 0.757 0.873
Tm8 0.750 0.858 0.733
Pr4 0.750 0.243 0.127
Tm9 0.750 0.741 0.364
Pr5 0.250 0.526 0.165
Tm10 0.250 0.072 0.915
Tm11 0.250 0.464 0.331
Th1 0.750 0.146 0.761
Tm12 0.750 0.928 0.085
Th2 0.250 0.854 0.239
Pr6 0.750 0.474 0.835

Computed properties:
* space-group type: P2_1/m (11)

---

Stability check: which of them is least stable? w.

---

w.
Below is a relaxed structure of Pr3Y7Th, with properties calculated at the PBE level.

Cell: 10.219 10.219 13.268 Å, 100.75 100.74 139.72°
Fractional positions:
Pr1 0.000 0.000 0.500
Pr2 0.496 0.019 0.248
Y1 0.548 0.864 0.458
Y2 0.914 0.086 0.750
Y3 0.452 0.136 0.542
Y4 0.545 0.455 0.250
Y5 0.455 0.545 0.750
Pr3 0.504 0.981 0.752
Pr4 0.981 0.503 0.252
Th1 0.500 0.500 0.000
Th2 0.500 0.500 0.500
Y6 0.086 0.914 0.250
Y7 0.572 0.896 0.987
Y8 0.136 0.452 0.042
Y9 0.896 0.572 0.487
Y10 0.104 0.428 0.513
Y11 0.086 0.915 0.750
Pr5 0.019 0.497 0.748
Y12 0.914 0.085 0.250
Y13 0.428 0.104 0.013
Pr6 0.000 0.000 0.000
Y14 0.864 0.548 0.958

Computed properties:
* space-group type: C2/c (15)

---

x.
Below is a relaxed structure of Pr3Y7Th, with properties calculated at the PBE level.

Cell: 8.819 7.134 7.134 Å, 120.00 90.00 90.00°
Fractional positions:
Y1 0.123 0.169 0.337
Y2 0.446 0.833 0.666
Pr1 0.781 0.498 0.996
Pr2 0.781 0.004 0.502
Pr3 0.781 0.498 0.502
Y3 0.446 0.833 0.167
Th1 0.446 0.333 0.667
Y4 0.446 0.334 0.167
Y5 0.123 0.169 0.831
Y6 0.121 0.667 0.333
Y7 0.123 0.663 0.831

Computed properties:
* space-group type: P3m1 (156)

---

Stability check: which of them is least stable? x.

---

w.
Below is a relaxed structure of PrY3Th, with properties calculated at the PBE level.

Cell: 3.639 8.724 11.720 Å, 90.00 90.00 102.05°
Fractional positions:
Th1 0.307 0.111 0.250
Pr1 0.978 0.450 0.250
Pr2 0.022 0.550 0.750
Y1 0.841 0.183 0.500
Y2 0.355 0.212 0.750
Y3 0.159 0.817 0.500
Y4 0.645 0.788 0.250
Th2 0.693 0.889 0.750
Y5 0.159 0.817 0.000
Y6 0.841 0.183 0.000

Computed properties:
* space-group type: P2_1/m (11)

---

x.
Below is a relaxed structure of PrY3Th, with properties calculated at the PBE level.

Cell: 6.863 6.328 11.252 Å, 124.20 90.15 117.51°
Fractional positions:
Y1 0.599 0.819 0.348
Pr1 0.389 0.994 0.144
Y2 0.197 0.374 0.446
Y3 0.006 0.420 0.749
Y4 0.994 0.580 0.251
Y5 0.803 0.626 0.554
Y6 0.401 0.181 0.652
Pr2 0.611 0.006 0.856
Th1 0.795 0.784 0.044
Th2 0.205 0.216 0.956

Computed properties:
* space-group type: P-1 (2)

---

Stability check: which of them is least stable? w.

---

w.
Below is a relaxed structure of Pr4Y3Th2, with properties calculated at the PBE level.

Cell: 3.613 3.613 27.335 Å, 90.00 90.00 120.00°
Fractional positions:
Y1 0.667 0.333 0.654
Th1 0.667 0.333 0.875
Y2 0.000 0.000 0.982
Th2 0.667 0.333 0.088
Y3 0.000 0.000 0.322
Pr1 0.667 0.333 0.430
Pr2 0.000 0.000 0.765
Pr3 0.000 0.000 0.546
Pr4 0.667 0.333 0.215

Computed properties:
* space-group type: P3m1 (156)

---

x.
Below is a relaxed structure of Pr4Y3Th2, with properties calculated at the PBE level.

Cell: 6.249 10.177 10.177 Å, 72.15 83.65 83.65°
Fractional positions:
Pr1 0.983 0.189 0.914
Pr2 0.017 0.811 0.086
Th1 0.190 0.745 0.470
Pr3 0.651 0.846 0.585
Pr4 0.849 0.415 0.154
Y1 0.250 0.393 0.607
Pr5 0.517 0.086 0.811
Y2 0.750 0.607 0.393
Pr6 0.349 0.154 0.415
Th2 0.310 0.530 0.255
Y3 0.580 0.716 0.944
Y4 0.420 0.284 0.056
Pr7 0.151 0.585 0.846
Y5 0.920 0.056 0.284
Th3 0.810 0.255 0.530
Pr8 0.483 0.914 0.189
Y6 0.080 0.944 0.716
Th4 0.690 0.470 0.745

Computed properties:
* space-group type: C2/c (15)

---

Stability check: which of them is least stable? x.

---

w.
Below is a relaxed structure of PrY6Th, with properties calculated at the PBE level.

Cell: 5.074 5.074 10.173 Å, 90.00 90.00 90.00°
Fractional positions:
Y1 0.500 0.000 0.745
Y2 0.000 0.500 0.255
Pr1 0.000 0.000 0.000
Y3 0.000 0.500 0.745
Th1 0.000 0.000 0.500
Y4 0.500 0.500 0.500
Y5 0.500 0.500 0.000
Y6 0.500 0.000 0.255

Computed properties:
* space-group type: P4/mmm (123)

---

x.
Below is a relaxed structure of PrY6Th, with properties calculated at the PBE level.

Cell: 6.822 6.596 6.890 Å, 101.61 61.85 90.22°
Fractional positions:
Pr1 0.000 0.000 0.000
Y1 0.457 0.254 0.999
Y2 0.426 0.235 0.484
Th1 0.000 0.500 0.000
Y3 0.909 0.271 0.523
Y4 0.543 0.746 0.001
Y5 0.574 0.765 0.516
Y6 0.091 0.729 0.477

Computed properties:
* space-group type: P-1 (2)

---

Stability check: which of them is least stable? x.

---

w.
Below is a relaxed structure of Pr2Y2Th, with properties calculated at the PBE level.

Cell: 6.604 6.568 9.292 Å, 110.70 110.82 90.00°
Fractional positions:
Y1 0.092 0.210 0.184
Th1 0.750 0.500 0.000
Y2 0.592 0.974 0.184
Y3 0.908 0.790 0.816
Y4 0.408 0.026 0.816
Th2 0.250 0.500 0.000
Pr1 0.813 0.169 0.625
Pr2 0.687 0.544 0.375
Pr3 0.313 0.456 0.625
Pr4 0.187 0.831 0.375

Computed properties:
* space-group type: Ibam (72)

---

x.
Below is a relaxed structure of Pr2Y2Th, with properties calculated at the PBE level.

Cell: 3.635 3.635 14.879 Å, 82.98 82.98 60.00°
Fractional positions:
Pr1 0.799 0.799 0.603
Y1 0.603 0.603 0.191
Pr2 0.201 0.201 0.397
Th1 0.000 0.000 0.000
Y2 0.397 0.397 0.809

Computed properties:
* space-group type: R-3m (166)

---

Stability check: which of them is least stable? w.